Computed, not measured: crystalline SbS6Cl2 at its relaxed geometry at the PBE level of DFT.

Computed properties:
For the uncorrected formation energy, the calculation gives -0.085 eV/atom. As for the crystal system: triclinic. Its total energy is -3.705 eV/atom.

Geometry as POSCAR:
```
SbS6Cl2
1.0
-1.6286 3.2363 -2.8578
4.6534 -3.3908 -5.3323
-6.7623 -3.7346 0.0462
Cl S Sb
2 6 1
direct
0.4374 0.1357 0.8611
0.5626 0.8643 0.1389
0.1322 0.3184 0.3018
0.8678 0.6816 0.6982
0.9103 0.2540 0.5084
0.0790 0.4640 0.7341
0.9210 0.5360 0.2659
0.0897 0.7460 0.4916
0.0000 0.0000 0.0000
```

***

Computed, not measured: crystalline Sb4S5Cl at its relaxed geometry at the PBE level of DFT.

Computed properties:
For the uncorrected formation energy, the calculation gives -0.221 eV/atom. As for the crystal system: orthorhombic. Its total energy is -4.118 eV/atom.

Geometry as POSCAR:
```
Sb4S5Cl
1.0
-0.4479 -1.2446 7.1681
2.3922 -8.1054 -1.2579
8.7137 2.4220 0.9650
Sb Cl S
8 2 10
direct
0.4870 0.3099 0.5000
0.8775 0.5000 0.2218
0.8775 0.5000 0.7782
0.5130 0.1901 0.0000
0.1225 0.0000 0.7218
0.1225 0.0000 0.2782
0.5130 0.8099 0.0000
0.4870 0.6901 0.5000
0.9395 0.0000 0.0000
0.0605 0.5000 0.5000
0.6246 0.5000 0.0000
0.7291 0.7433 0.6929
0.2709 0.2433 0.8071
0.3754 0.0000 0.5000
0.2709 0.2433 0.1929
0.7291 0.2567 0.3071
0.7291 0.2567 0.6929
0.7291 0.7433 0.3071
0.2709 0.7567 0.8071
0.2709 0.7567 0.1929
```

***

Computed, not measured: crystalline SbS2Cl8 at its relaxed geometry at the PBE level of DFT.

Computed properties:
For the uncorrected formation energy, the calculation gives -0.222 eV/atom. As for the crystal system: trigonal. Its total energy is -2.690 eV/atom.

Geometry as POSCAR:
```
SbS2Cl8
1.0
6.8833 0.0000 0.0000
0.0000 6.8510 -3.9554
0.0000 0.0000 7.9108
Cl S Sb
8 2 1
direct
0.8262 0.6667 0.3333
0.2934 0.8523 0.1477
0.7066 0.1477 0.8523
0.1738 0.3333 0.6667
0.7066 0.1477 0.2954
0.2934 0.2954 0.1477
0.2934 0.8523 0.7046
0.7066 0.7046 0.8523
0.8904 0.3333 0.6667
0.1096 0.6667 0.3333
0.5000 0.0000 0.0000
```